DFT (PBE) results for crystalline Ca2Zn2Bi3 at its relaxed geometry.

Results
electronic total energy = -42.33 eV per cell
crystal system = monoclinic
magnetic moment = 0.00 μB/atom
symmetry = C2/m, No. 12

Unit cell a=8.800 b=8.800 c=12.548 alpha=124.94 beta=124.94 gamma=31.05
Positions (direct):
Ca1 0.078 0.078 0.422
Ca2 0.243 0.243 0.841
Ca3 0.757 0.757 0.159
Ca4 0.922 0.922 0.578
Zn1 0.100 0.100 0.172
Zn2 0.458 0.458 0.193
Zn3 0.542 0.542 0.807
Zn4 0.900 0.900 0.828
Bi1 0.116 0.116 0.962
Bi2 0.330 0.330 0.668
Bi3 0.399 0.399 0.366
Bi4 0.601 0.601 0.634
Bi5 0.670 0.670 0.332
Bi6 0.884 0.884 0.038